Entry 1:
DFT (PBE-GGA) results for HfTl2AgN after structural relaxation.

Unit cell a=5.653 b=3.781 c=5.653 alpha=90.00 beta=90.00 gamma=90.00
Fractional positions:
Ag (0.000, 0.000, 0.000)
Tl (0.500, 0.000, 0.000)
Tl (0.000, 0.000, 0.500)
N (0.000, 0.500, 0.000)
Hf (0.500, 0.500, 0.500)

Computed properties:
symmetry = P4/mmm, No. 123

Entry 2:
DFT (PBE-GGA) results for HfVAg2N after structural relaxation.

Unit cell a=5.278 b=3.937 c=5.278 alpha=90.00 beta=90.00 gamma=90.00
Fractional positions:
Ag (0.500, 0.000, 0.000)
Ag (0.000, 0.000, 0.500)
Hf (0.000, 0.000, 0.000)
V (0.500, 0.500, 0.500)
N (0.000, 0.500, 0.000)

Computed properties:
symmetry = P4/mmm, No. 123

Results for uncorrected energy: -4.01, -5.46 (in eV/atom, following the order of the records).